Below is a relaxed structure of Zr2ZnMo, with properties calculated at the GGA-PBEsol level.

```
data_Zr2ZnMo
_space_group_name_H-M_alt 'C m m m'
_space_group_IT_number 65
_space_group_name_Hall '-C 2 2'
_cell_length_a 3.460
_cell_length_b 4.768
_cell_length_c 8.796
_cell_angle_alpha 90.00
_cell_angle_beta 90.00
_cell_angle_gamma 90.00
loop_
_atom_site_label
_atom_site_fract_x
_atom_site_fract_y
_atom_site_fract_z
Zr1 0.000 0.000 0.242
Zn1 0.000 0.500 0.500
Mo1 0.000 0.500 0.000
```

## Properties
E_tot = -63.17 eV for the cell shown
mass density = 7869 kg/m3